Entry 1:
Material: Pa2Co2Bi
Method: DFT, PBE
State: relaxed

Calculated values
space group = No. 127
energy relative to the elements = -0.366 eV per atom
calculated volume = 99.13 Å³/f.u.

a = 7.458 Å, b = 7.458 Å, c = 3.564 Å
α = 90.00°, β = 90.00°, γ = 90.00°
Positions (direct):
Pa1 0.166 0.334 0.000
Pa2 0.334 0.834 0.000
Pa3 0.666 0.166 0.000
Pa4 0.834 0.666 0.000
Co1 0.128 0.628 0.500
Co2 0.372 0.128 0.500
Co3 0.628 0.872 0.500
Co4 0.872 0.372 0.500
Bi1 0.000 0.000 0.500
Bi2 0.500 0.500 0.500

***

Entry 2:
Material: PaCoBi2
Method: DFT, PBE
State: relaxed

Calculated values
space group = No. 139
energy relative to the elements = -0.162 eV per atom
calculated volume = 95.08 Å³/f.u.

a = 4.554 Å, b = 4.554 Å, c = 18.338 Å
α = 90.00°, β = 90.00°, γ = 90.00°
Positions (direct):
Pa1 0.000 0.000 0.145
Pa2 0.000 0.000 0.855
Pa3 0.500 0.500 0.355
Pa4 0.500 0.500 0.645
Co1 0.000 0.500 0.250
Co2 0.000 0.500 0.750
Co3 0.500 0.000 0.250
Co4 0.500 0.000 0.750
Bi1 0.000 0.000 0.334
Bi2 0.000 0.000 0.666
Bi3 0.000 0.500 0.000
Bi4 0.000 0.500 0.500
Bi5 0.500 0.000 0.000
Bi6 0.500 0.000 0.500
Bi7 0.500 0.500 0.166
Bi8 0.500 0.500 0.834

***

Entry 3:
Material: Pa2Co2Bi
Method: DFT, PBE
State: relaxed

Calculated values
space group = No. 65
energy relative to the elements = -0.374 eV per atom
calculated volume = 102.58 Å³/f.u.

a = 4.079 Å, b = 14.630 Å, c = 3.438 Å
α = 90.00°, β = 90.00°, γ = 90.00°
Positions (direct):
Pa1 0.000 0.149 0.000
Pa2 0.000 0.851 0.000
Pa3 0.500 0.351 0.000
Pa4 0.500 0.649 0.000
Co1 0.000 0.307 0.500
Co2 0.000 0.693 0.500
Co3 0.500 0.193 0.500
Co4 0.500 0.807 0.500
Bi1 0.000 0.500 0.500
Bi2 0.500 0.000 0.500

***

Entry 4:
Material: Pa2CoBi
Method: DFT, PBE
State: relaxed

Calculated values
space group = No. 11
energy relative to the elements = -0.213 eV per atom
calculated volume = 94.51 Å³/f.u.

a = 6.407 Å, b = 3.747 Å, c = 8.212 Å
α = 90.00°, β = 106.53°, γ = 90.00°
Positions (direct):
Pa1 0.120 0.250 0.367
Pa2 0.232 0.750 0.039
Pa3 0.768 0.250 0.961
Pa4 0.880 0.750 0.633
Co1 0.156 0.250 0.798
Co2 0.844 0.750 0.202
Bi1 0.403 0.750 0.688
Bi2 0.597 0.250 0.312

***

Entry 5:
Material: Pa2CoBi
Method: DFT, PBE
State: relaxed

Calculated values
space group = No. 166
energy relative to the elements = -0.192 eV per atom
calculated volume = 101.25 Å³/f.u.

a = 3.980 Å, b = 3.980 Å, c = 22.143 Å
α = 90.00°, β = 90.00°, γ = 120.00°
Positions (direct):
Pa1 0.000 0.000 0.229
Pa2 0.000 0.000 0.771
Pa3 0.333 0.667 0.437
Pa4 0.333 0.667 0.896
Pa5 0.667 0.333 0.104
Pa6 0.667 0.333 0.563
Co1 0.000 0.000 0.500
Co2 0.333 0.667 0.167
Co3 0.667 0.333 0.833
Bi1 0.000 0.000 0.000
Bi2 0.333 0.667 0.667
Bi3 0.667 0.333 0.333

***

Entry 6:
Material: PaCo4Bi
Method: DFT, PBE
State: relaxed

Calculated values
space group = No. 216
energy relative to the elements = -0.002 eV per atom
calculated volume = 89.98 Å³/f.u.

a = 5.030 Å, b = 5.030 Å, c = 5.030 Å
α = 60.00°, β = 60.00°, γ = 60.00°
Positions (direct):
Pa1 0.000 0.000 0.000
Co1 0.376 0.376 0.376
Co2 0.376 0.376 0.872
Co3 0.376 0.872 0.376
Co4 0.872 0.376 0.376
Bi1 0.750 0.750 0.750

***

Entry 7:
Material: PaCoBi3
Method: DFT, PBE
State: relaxed

Calculated values
space group = No. 38
energy relative to the elements = -0.041 eV per atom
calculated volume = 132.46 Å³/f.u.

a = 5.104 Å, b = 4.219 Å, c = 12.303 Å
α = 90.00°, β = 90.00°, γ = 90.00°
Positions (direct):
Pa1 0.000 0.000 0.000
Pa2 0.000 0.500 0.500
Co1 0.000 0.000 0.384
Co2 0.000 0.500 0.884
Bi1 0.000 0.000 0.720
Bi2 0.000 0.500 0.220
Bi3 0.500 0.000 0.201
Bi4 0.500 0.000 0.464
Bi5 0.500 0.500 0.701
Bi6 0.500 0.500 0.964

***

Entry 8:
Material: Pa3CoBi
Method: DFT, PBE
State: relaxed

Calculated values
space group = No. 51
energy relative to the elements = -0.095 eV per atom
calculated volume = 122.43 Å³/f.u.

a = 6.201 Å, b = 5.184 Å, c = 7.616 Å
α = 90.00°, β = 90.00°, γ = 90.00°
Positions (direct):
Pa1 0.000 0.000 0.000
Pa2 0.250 0.000 0.419
Pa3 0.250 0.500 0.628
Pa4 0.500 0.000 0.000
Pa5 0.750 0.000 0.581
Pa6 0.750 0.500 0.372
Co1 0.250 0.000 0.750
Co2 0.750 0.000 0.250
Bi1 0.250 0.500 0.178
Bi2 0.750 0.500 0.822

***

Entry 9:
Material: Pa2CoBi
Method: DFT, PBE
State: relaxed

Calculated values
space group = No. 160
energy relative to the elements = -0.138 eV per atom
calculated volume = 101.74 Å³/f.u.

a = 3.938 Å, b = 3.938 Å, c = 22.728 Å
α = 90.00°, β = 90.00°, γ = 120.00°
Positions (direct):
Pa1 0.000 0.000 0.000
Pa2 0.000 0.000 0.210
Pa3 0.333 0.667 0.667
Pa4 0.333 0.667 0.877
Pa5 0.667 0.333 0.333
Pa6 0.667 0.333 0.544
Co1 0.000 0.000 0.607
Co2 0.333 0.667 0.274
Co3 0.667 0.333 0.941
Bi1 0.000 0.000 0.438
Bi2 0.333 0.667 0.105
Bi3 0.667 0.333 0.772

***

Entry 10:
Material: PaCoBi2
Method: DFT, PBE
State: relaxed

Calculated values
space group = No. 166
energy relative to the elements = 0.486 eV per atom
calculated volume = 102.87 Å³/f.u.

a = 3.343 Å, b = 3.343 Å, c = 31.877 Å
α = 90.00°, β = 90.00°, γ = 120.00°
Positions (direct):
Pa1 0.000 0.000 0.000
Pa2 0.333 0.667 0.667
Pa3 0.667 0.333 0.333
Co1 0.000 0.000 0.500
Co2 0.333 0.667 0.167
Co3 0.667 0.333 0.833
Bi1 0.000 0.000 0.420
Bi2 0.000 0.000 0.580
Bi3 0.333 0.667 0.087
Bi4 0.333 0.667 0.247
Bi5 0.667 0.333 0.753
Bi6 0.667 0.333 0.913

***

Entry 11:
Material: PaCoBiS4
Method: DFT, PBE
State: relaxed

Calculated values
uncorrected formation energy = -0.778 eV/atom
space group = No. 11
calculated volume = 141.80 Å³/f.u.

a = 6.406 Å, b = 5.789 Å, c = 7.931 Å
α = 90.00°, β = 105.39°, γ = 90.00°
Positions (direct):
Pa1 0.250 0.250 0.051
Pa2 0.750 0.750 0.949
Co1 0.235 0.750 0.861
Co2 0.765 0.250 0.139
Bi1 0.281 0.250 0.533
Bi2 0.719 0.750 0.467
S1 0.009 0.504 0.233
S2 0.009 0.996 0.233
S3 0.405 0.750 0.642
S4 0.439 0.750 0.120
S5 0.561 0.250 0.880
S6 0.595 0.250 0.358
S7 0.991 0.004 0.767
S8 0.991 0.496 0.767

***

Entry 12:
Material: Co2Bi2Pb
Method: DFT, PBE
State: relaxed

Calculated values
space group = No. 139
energy relative to the elements = 0.254 eV per atom
calculated volume = 118.25 Å³/f.u.

a = 3.445 Å, b = 3.445 Å, c = 19.925 Å
α = 90.00°, β = 90.00°, γ = 90.00°
Positions (direct):
Co1 0.000 0.500 0.250
Co2 0.000 0.500 0.750
Co3 0.500 0.000 0.250
Co4 0.500 0.000 0.750
Bi1 0.000 0.000 0.140
Bi2 0.000 0.000 0.860
Bi3 0.500 0.500 0.360
Bi4 0.500 0.500 0.640
Pb1 0.000 0.000 0.500
Pb2 0.500 0.500 0.000

***

Entry 13:
Material: Co2Bi2Pb
Method: DFT, PBE
State: relaxed

Calculated values
space group = No. 139
energy relative to the elements = 0.477 eV per atom
calculated volume = 114.93 Å³/f.u.

a = 4.845 Å, b = 4.845 Å, c = 9.790 Å
α = 90.00°, β = 90.00°, γ = 90.00°
Positions (direct):
Co1 0.000 0.000 0.115
Co2 0.000 0.000 0.885
Co3 0.500 0.500 0.385
Co4 0.500 0.500 0.615
Bi1 0.000 0.500 0.250
Bi2 0.000 0.500 0.750
Bi3 0.500 0.000 0.250
Bi4 0.500 0.000 0.750
Pb1 0.000 0.000 0.500
Pb2 0.500 0.500 0.000

***

Entry 14:
Material: Co2BiPb2
Method: DFT, PBE
State: relaxed

Calculated values
space group = No. 139
energy relative to the elements = 0.587 eV per atom
calculated volume = 113.04 Å³/f.u.

a = 4.451 Å, b = 4.451 Å, c = 11.414 Å
α = 90.00°, β = 90.00°, γ = 90.00°
Positions (direct):
Co1 0.000 0.000 0.098
Co2 0.000 0.000 0.902
Co3 0.500 0.500 0.402
Co4 0.500 0.500 0.598
Bi1 0.000 0.000 0.500
Bi2 0.500 0.500 0.000
Pb1 0.000 0.500 0.250
Pb2 0.000 0.500 0.750
Pb3 0.500 0.000 0.250
Pb4 0.500 0.000 0.750

***

Entry 15:
Material: CoBiPb3
Method: DFT, PBE
State: relaxed

Calculated values
space group = No. 221
energy relative to the elements = 0.162 eV per atom
calculated volume = 137.58 Å³/f.u.

a = 5.162 Å, b = 5.162 Å, c = 5.162 Å
α = 90.00°, β = 90.00°, γ = 90.00°
Positions (direct):
Co1 0.000 0.000 0.000
Bi1 0.500 0.500 0.500
Pb1 0.000 0.000 0.500
Pb2 0.000 0.500 0.000
Pb3 0.500 0.000 0.000

***

Entry 16:
Material: Co3BiPb
Method: DFT, PBE
State: relaxed

Calculated values
space group = No. 221
energy relative to the elements = 1.238 eV per atom
calculated volume = 114.27 Å³/f.u.

a = 4.853 Å, b = 4.853 Å, c = 4.853 Å
α = 90.00°, β = 90.00°, γ = 90.00°
Positions (direct):
Co1 0.000 0.000 0.500
Co2 0.000 0.500 0.000
Co3 0.500 0.000 0.000
Bi1 0.000 0.000 0.000
Pb1 0.500 0.500 0.500

***

Entry 17:
Material: CoBi2Pb2
Method: DFT, PBE
State: relaxed

Calculated values
space group = No. 127
energy relative to the elements = 0.279 eV per atom
calculated volume = 142.13 Å³/f.u.

a = 6.931 Å, b = 6.931 Å, c = 5.917 Å
α = 90.00°, β = 90.00°, γ = 90.00°
Positions (direct):
Co1 0.000 0.000 0.000
Co2 0.500 0.500 0.000
Bi1 0.159 0.341 0.000
Bi2 0.341 0.841 0.000
Bi3 0.659 0.159 0.000
Bi4 0.841 0.659 0.000
Pb1 0.180 0.680 0.500
Pb2 0.320 0.180 0.500
Pb3 0.680 0.820 0.500
Pb4 0.820 0.320 0.500

***

Entry 18:
Material: Co2Bi2Pb
Method: DFT, PBE
State: relaxed

Calculated values
space group = No. 127
energy relative to the elements = 0.423 eV per atom
calculated volume = 105.74 Å³/f.u.

a = 7.899 Å, b = 7.899 Å, c = 3.390 Å
α = 90.00°, β = 90.00°, γ = 90.00°
Positions (direct):
Co1 0.126 0.374 0.000
Co2 0.374 0.874 0.000
Co3 0.626 0.126 0.000
Co4 0.874 0.626 0.000
Bi1 0.154 0.654 0.500
Bi2 0.346 0.154 0.500
Bi3 0.654 0.846 0.500
Bi4 0.846 0.346 0.500
Pb1 0.000 0.000 0.000
Pb2 0.500 0.500 0.000

***

Entry 19:
Material: RbCo2BiPb
Method: DFT, PBE
State: relaxed

Calculated values
space group = No. 123
energy relative to the elements = 1.930 eV per atom
calculated volume = 154.07 Å³/f.u.

a = 4.937 Å, b = 4.937 Å, c = 6.322 Å
α = 90.00°, β = 90.00°, γ = 90.00°
Positions (direct):
Rb1 0.000 0.000 0.000
Co1 0.000 0.500 0.000
Co2 0.500 0.000 0.000
Bi1 0.000 0.000 0.500
Pb1 0.500 0.500 0.500

***

Entry 20:
Material: ScCo2BiPb
Method: DFT, PBE
State: relaxed

Calculated values
space group = No. 123
energy relative to the elements = 0.980 eV per atom
calculated volume = 120.44 Å³/f.u.

a = 4.662 Å, b = 4.662 Å, c = 5.541 Å
α = 90.00°, β = 90.00°, γ = 90.00°
Positions (direct):
Sc1 0.000 0.000 0.000
Co1 0.000 0.500 0.000
Co2 0.500 0.000 0.000
Bi1 0.500 0.500 0.500
Pb1 0.000 0.000 0.500

***

Entry 21:
Material: CoSnBiPb2
Method: DFT, PBE
State: relaxed

Calculated values
space group = No. 123
energy relative to the elements = 0.126 eV per atom
calculated volume = 133.92 Å³/f.u.

a = 5.169 Å, b = 5.169 Å, c = 5.012 Å
α = 90.00°, β = 90.00°, γ = 90.00°
Positions (direct):
Co1 0.000 0.000 0.000
Sn1 0.000 0.000 0.500
Bi1 0.500 0.500 0.500
Pb1 0.000 0.500 0.000
Pb2 0.500 0.000 0.000

***

Entry 22:
Material: TlCoBiPb2
Method: DFT, PBE
State: relaxed

Calculated values
space group = No. 123
energy relative to the elements = 0.209 eV per atom
calculated volume = 137.42 Å³/f.u.

a = 5.181 Å, b = 5.181 Å, c = 5.119 Å
α = 90.00°, β = 90.00°, γ = 90.00°
Positions (direct):
Tl1 0.000 0.000 0.000
Co1 0.000 0.000 0.500
Bi1 0.500 0.500 0.000
Pb1 0.000 0.500 0.500
Pb2 0.500 0.000 0.500

***

Entry 23:
Material: TlCo2BiPb
Method: DFT, PBE
State: relaxed

Calculated values
space group = No. 123
energy relative to the elements = 1.112 eV per atom
calculated volume = 131.84 Å³/f.u.

a = 4.770 Å, b = 4.770 Å, c = 5.795 Å
α = 90.00°, β = 90.00°, γ = 90.00°
Positions (direct):
Tl1 0.000 0.000 0.000
Co1 0.000 0.500 0.500
Co2 0.500 0.000 0.500
Bi1 0.000 0.000 0.500
Pb1 0.500 0.500 0.000

***

Entry 24:
Material: CoBiPbW2
Method: DFT, PBE
State: relaxed

Calculated values
space group = No. 123
energy relative to the elements = 2.979 eV per atom
calculated volume = 150.46 Å³/f.u.

a = 5.095 Å, b = 5.095 Å, c = 5.795 Å
α = 90.00°, β = 90.00°, γ = 90.00°
Positions (direct):
Co1 0.000 0.000 0.000
Bi1 0.500 0.500 0.500
Pb1 0.500 0.500 0.000
W1 0.000 0.500 0.500
W2 0.500 0.000 0.500

***

Entry 25:
Material: CoBiPbW2
Method: DFT, PBE
State: relaxed

Calculated values
space group = No. 123
energy relative to the elements = 1.453 eV per atom
calculated volume = 111.62 Å³/f.u.

a = 4.632 Å, b = 4.632 Å, c = 5.201 Å
α = 90.00°, β = 90.00°, γ = 90.00°
Positions (direct):
Co1 0.000 0.000 0.000
Bi1 0.000 0.000 0.500
Pb1 0.500 0.500 0.500
W1 0.000 0.500 0.000
W2 0.500 0.000 0.000

***

Entry 26:
Material: YCoBiPb2
Method: DFT, PBE
State: relaxed

Calculated values
space group = No. 123
energy relative to the elements = -0.119 eV per atom
calculated volume = 134.31 Å³/f.u.

a = 5.058 Å, b = 5.058 Å, c = 5.250 Å
α = 90.00°, β = 90.00°, γ = 90.00°
Positions (direct):
Y1 0.000 0.000 0.000
Co1 0.000 0.000 0.500
Bi1 0.500 0.500 0.000
Pb1 0.000 0.500 0.500
Pb2 0.500 0.000 0.500

***

Entry 27:
Material: Y2CoBiPb
Method: DFT, PBE
State: relaxed

Calculated values
space group = No. 123
energy relative to the elements = -0.328 eV per atom
calculated volume = 135.06 Å³/f.u.

a = 5.253 Å, b = 5.253 Å, c = 4.894 Å
α = 90.00°, β = 90.00°, γ = 90.00°
Positions (direct):
Y1 0.000 0.500 0.000
Y2 0.500 0.000 0.000
Co1 0.000 0.000 0.000
Bi1 0.500 0.500 0.500
Pb1 0.000 0.000 0.500